VASP calculation (PBE) on crystalline KCaAg at its relaxed geometry.

Cell: 5.1998 5.1998 8.5557 Å, 90.00 90.00 90.00°
Fractional positions:
K 0.0000 0.5000 0.8753
K 0.5000 0.0000 0.1247
Ca 0.0000 0.0000 0.5000
Ca 0.5000 0.5000 0.5000
Ag 0.0000 0.5000 0.2966
Ag 0.5000 0.0000 0.7034

Output
Polymorph energy (0 for the lowest one): 0 meV/atom
Total DFT energy (no corrections): -12.4 eV per cell
Symmetry: No. 129
Calculated formation energy: -0.079 eV/atom